{"formula": "RbCd3Pd", "functional": "PBE-GGA", "state": "relaxed", "lattice": [[5.522, -0.003, -0.046], [0.001, 7.303, -0.006], [-0.083, -3.649, 6.578]], "species": ["Pd", "Pd", "Rb", "Rb", "Cd", "Cd", "Cd", "Cd", "Cd", "Cd"], "frac_coords": [[0.258, 0.392, 0.850], [0.006, 0.595, 0.256], [0.287, 0.995, 0.055], [0.762, 0.172, 0.411], [0.808, 0.226, 0.914], [0.499, 0.580, 0.227], [0.250, 0.531, 0.569], [0.250, 0.972, 0.569], [0.808, 0.622, 0.914], [0.758, 0.781, 0.629]], "ef_mev_per_atom": -144.9, "polymorph_energy_ev_per_atom": 0.049, "crystal_system": "monoclinic"}